1.
Entry from the Alexandria database: a relaxed structure of PtF4 (PBE-GGA).

Summary:
- Raw formation energy: -1227 meV/atom
- Energy relative to the lowest polymorph listed for this composition: 0 meV/atom
- Crystal system: orthorhombic

Geometry as CIF:
```
data_PtF4
_chemical_formula_sum 'Pt8 F32'
_cell_length_a 9.462
_cell_length_b 9.659
_cell_length_c 5.980
_cell_angle_alpha 90.00
_cell_angle_beta 90.00
_cell_angle_gamma 90.00
_space_group_name_H-M_alt 'F d d 2'
_space_group_IT_number 43
_space_group_name_Hall 'F 2 -2d'
loop_
_atom_site_label
_atom_site_fract_x
_atom_site_fract_y
_atom_site_fract_z
_atom_site_occupancy
Pt1 0.000 0.000 0.000 1
F1 0.114 0.409 0.242 1
F2 0.114 0.409 0.717 1
```


2.
Entry from the Alexandria database: a relaxed structure of Sc2HPtRh (PBE-GGA).

Summary:
- Energy relative to the lowest polymorph listed for this composition: 73 meV/atom
- Crystal system: tetragonal

Geometry as CIF:
```
data_Sc2HPtRh
_chemical_formula_sum 'Sc2 H1 Pt1 Rh1'
_cell_length_a 4.511
_cell_length_b 4.511
_cell_length_c 3.594
_cell_angle_alpha 90.00
_cell_angle_beta 90.00
_cell_angle_gamma 90.00
_space_group_name_H-M_alt 'P 4/m m m'
_space_group_IT_number 123
_space_group_name_Hall '-P 4 2'
loop_
_atom_site_label
_atom_site_fract_x
_atom_site_fract_y
_atom_site_fract_z
_atom_site_occupancy
Sc1 0.000 0.500 0.000 1
H1 0.000 0.000 0.000 1
Pt1 0.000 0.000 0.500 1
Rh1 0.500 0.500 0.500 1
```


3.
Entry from the Alexandria database: a relaxed structure of GdPuCdAg (PBE-GGA).

Summary:
- Energy of formation: -0.29 eV per formula unit
- Crystal system: cubic

Geometry as CIF:
```
data_GdPuCdAg
_chemical_formula_sum 'Gd4 Pu4 Cd4 Ag4'
_cell_length_a 7.468
_cell_length_b 7.468
_cell_length_c 7.468
_cell_angle_alpha 90.00
_cell_angle_beta 90.00
_cell_angle_gamma 90.00
_space_group_name_H-M_alt 'F -4 3 m'
_space_group_IT_number 216
_space_group_name_Hall 'F -4 2 3'
loop_
_atom_site_label
_atom_site_fract_x
_atom_site_fract_y
_atom_site_fract_z
_atom_site_occupancy
Gd1 0.000 0.000 0.000 1
Pu1 0.000 0.000 0.500 1
Cd1 0.250 0.250 0.750 1
Ag1 0.250 0.250 0.250 1
```


4.
Entry from the Alexandria database: a relaxed structure of Ca4AlP (PBE-GGA).

Summary:
- Energy of formation: 2.84 eV per formula unit
- Crystal system: cubic

Geometry as CIF:
```
data_Ca4AlP
_chemical_formula_sum 'Ca16 Al4 P4'
_cell_length_a 8.996
_cell_length_b 8.996
_cell_length_c 8.996
_cell_angle_alpha 90.00
_cell_angle_beta 90.00
_cell_angle_gamma 90.00
_space_group_name_H-M_alt 'F -4 3 m'
_space_group_IT_number 216
_space_group_name_Hall 'F -4 2 3'
loop_
_atom_site_label
_atom_site_fract_x
_atom_site_fract_y
_atom_site_fract_z
_atom_site_occupancy
Ca1 0.125 0.125 0.125 1
Al1 0.000 0.000 0.500 1
P1 0.250 0.250 0.750 1
```


5.
Entry from the Alexandria database: a relaxed structure of GaAs2BrF (PBE-GGA).

Summary:
- Raw formation energy: 328 meV/atom
- Energy relative to the lowest polymorph listed for this composition: 248 meV/atom
- Crystal system: tetragonal

Geometry as CIF:
```
data_GaAs2BrF
_chemical_formula_sum 'Ga1 As2 Br1 F1'
_cell_length_a 4.969
_cell_length_b 4.969
_cell_length_c 5.085
_cell_angle_alpha 90.00
_cell_angle_beta 90.00
_cell_angle_gamma 90.00
_space_group_name_H-M_alt 'P 4/m m m'
_space_group_IT_number 123
_space_group_name_Hall '-P 4 2'
loop_
_atom_site_label
_atom_site_fract_x
_atom_site_fract_y
_atom_site_fract_z
_atom_site_occupancy
Ga1 0.000 0.000 0.000 1
As1 0.000 0.500 0.000 1
Br1 0.000 0.000 0.500 1
F1 0.500 0.500 0.500 1
```


6.
Entry from the Alexandria database: a relaxed structure of NiOs3Cl (PBE-GGA).

Summary:
- Raw formation energy: 2051 meV/atom
- Energy relative to the lowest polymorph listed for this composition: 0 meV/atom
- Crystal system: cubic

Geometry as CIF:
```
data_NiOs3Cl
_chemical_formula_sum 'Ni1 Os3 Cl1'
_cell_length_a 4.310
_cell_length_b 4.310
_cell_length_c 4.310
_cell_angle_alpha 90.00
_cell_angle_beta 90.00
_cell_angle_gamma 90.00
_space_group_name_H-M_alt 'P m -3 m'
_space_group_IT_number 221
_space_group_name_Hall '-P 4 2 3'
loop_
_atom_site_label
_atom_site_fract_x
_atom_site_fract_y
_atom_site_fract_z
_atom_site_occupancy
Ni1 0.000 0.000 0.000 1
Os1 0.000 0.500 0.500 1
Cl1 0.500 0.500 0.500 1
```


7.
Entry from the Alexandria database: a relaxed structure of HfNiH3 (PBE-GGA).

Summary:
- Crystal system: orthorhombic
- Electronic total energy: -5.522 eV/atom

Geometry as CIF:
```
data_HfNiH3
_chemical_formula_sum 'Hf4 Ni4 H12'
_cell_length_a 3.425
_cell_length_b 10.702
_cell_length_c 4.344
_cell_angle_alpha 90.00
_cell_angle_beta 90.00
_cell_angle_gamma 90.00
_space_group_name_H-M_alt 'C 2 2 21'
_space_group_IT_number 20
loop_
_space_group_symop_operation_xyz
'x,y,z'
'-x,-y,z+1/2'
'x,-y,-z'
'-x,y,-z+1/2'
'x+1/2,y+1/2,z'
'-x+1/2,-y+1/2,z+1/2'
'x+1/2,-y+1/2,-z'
'-x+1/2,y+1/2,-z+1/2'
loop_
_atom_site_label
_atom_site_fract_x
_atom_site_fract_y
_atom_site_fract_z
_atom_site_occupancy
Hf1 0.000 0.152 0.250 1
Ni1 0.000 0.432 0.250 1
H1 0.005 0.313 0.502 1
H2 0.192 0.000 0.500 1
```


8.
Entry from the Alexandria database: a relaxed structure of Pr3MgAu4 (PBE-GGA).

Summary:
- Energy of formation: -5.16 eV per formula unit
- Crystal system: orthorhombic

Geometry as CIF:
```
data_Pr3MgAu4
_chemical_formula_sum 'Pr6 Mg2 Au8'
_cell_length_a 4.093
_cell_length_b 7.039
_cell_length_c 15.148
_cell_angle_alpha 90.00
_cell_angle_beta 90.00
_cell_angle_gamma 90.00
_space_group_name_H-M_alt 'I m m m'
_space_group_IT_number 71
_space_group_name_Hall '-I 2 2'
loop_
_atom_site_label
_atom_site_fract_x
_atom_site_fract_y
_atom_site_fract_z
_atom_site_occupancy
Pr1 0.000 0.000 0.000 1
Pr2 0.000 0.500 0.198 1
Mg1 0.000 0.000 0.500 1
Au1 0.000 0.291 0.377 1
```